NiPbSCl2: relaxed, PBEsol.

Unit cell a=5.150 b=5.300 c=5.300 alpha=90.00 beta=90.00 gamma=90.00
Fractional positions:
Pb 0.000 0.000 0.000
Cl 0.000 0.500 0.000
Cl 0.000 0.000 0.500
S 0.500 0.000 0.000
Ni 0.500 0.500 0.500

Results
total DFT energy (no corrections)	-3.20	eV/atom
formation energy (no corrections)	514	meV/atom
symmetry	P4/mmm (123)
N(E_F)	6.56	states/eV/cell

***

Ca2YAl: relaxed, PBEsol.

Unit cell a=5.415 b=5.415 c=5.415 alpha=60.00 beta=60.00 gamma=60.00
Fractional positions:
Ca 0.750 0.750 0.750
Ca 0.000 0.000 0.000
Al 0.500 0.500 0.500
Y 0.250 0.250 0.250

Results
total DFT energy (no corrections)	-3.83	eV/atom
symmetry	F-43m (216)
formation enthalpy at 0 K	-0.038	eV per atom
N(E_F)	3.13	states/eV/cell

***

NaCu3Te2: relaxed, PBEsol.

Unit cell a=4.199 b=4.199 c=8.235 alpha=75.23 beta=75.23 gamma=60.00
Fractional positions:
Cu 0.000 0.000 0.000
Cu 0.633 0.633 0.100
Cu 0.367 0.367 0.900
Te 0.746 0.746 0.763
Te 0.254 0.254 0.237
Na 0.500 0.500 0.500

Results
total DFT energy (no corrections)	-3.79	eV/atom
formation energy (no corrections)	-213	meV/atom
symmetry	R-3m (166)
N(E_F)	0.46	states/eV/cell

***

KSn2Pd2: relaxed, PBEsol.

Unit cell a=4.708 b=4.708 c=6.353 alpha=111.75 beta=111.75 gamma=90.00
Fractional positions:
Sn 0.359 0.359 0.719
Sn 0.641 0.641 0.281
Pd 0.250 0.750 0.500
Pd 0.750 0.250 0.500
K 0.000 0.000 0.000

Results
total DFT energy (no corrections)	-4.71	eV/atom
relative energy among the computed polymorphs	0.000	eV/atom
symmetry	I4/mmm (139)
formation enthalpy at 0 K	-0.395	eV per atom
N(E_F)	2.14	states/eV/cell

***

ZrTi2Au2: relaxed, PBEsol.

Unit cell a=4.540 b=5.056 c=5.056 alpha=90.00 beta=90.00 gamma=90.00
Fractional positions:
Zr 0.000 0.000 0.000
Ti 0.500 0.000 0.000
Ti 0.500 0.500 0.500
Au 0.000 0.000 0.500
Au 0.000 0.500 0.000

Results
total DFT energy (no corrections)	-5.68	eV/atom
symmetry	P4/mmm (123)
formation enthalpy at 0 K	1.041	eV per atom
N(E_F)	5.74	states/eV/cell

***

ScSiP: relaxed, PBEsol.

Unit cell a=4.303 b=4.303 c=4.303 alpha=60.00 beta=60.00 gamma=60.00
Fractional positions:
Sc 0.000 0.000 0.000
P 0.250 0.250 0.250
Si 0.500 0.500 0.500

Results
total DFT energy (no corrections)	-6.27	eV/atom
formation energy (no corrections)	-219	meV/atom
symmetry	F-43m (216)
N(E_F)	2.15	states/eV/cell

***

Q: The highest total DFT energy (no corrections) belongs to which entry?
A: NiPbSCl2

***

Please write out number 3 again, unchanged.
NaCu3Te2: relaxed, PBEsol.

Unit cell a=4.199 b=4.199 c=8.235 alpha=75.23 beta=75.23 gamma=60.00
Fractional positions:
Cu 0.000 0.000 0.000
Cu 0.633 0.633 0.100
Cu 0.367 0.367 0.900
Te 0.746 0.746 0.763
Te 0.254 0.254 0.237
Na 0.500 0.500 0.500

Results
total DFT energy (no corrections)	-3.79	eV/atom
formation energy (no corrections)	-213	meV/atom
symmetry	R-3m (166)
N(E_F)	0.46	states/eV/cell

***

Q: Among the records above, which one has the highest total DFT energy (no corrections)?
A: NiPbSCl2

***

Q: What is the total DFT energy (no corrections) in the fourth record?
A: -4.71 eV/atom